The following is a DFT calculation (PBE-GGA) of crystalline Na2FeTeAu at its relaxed geometry.

Calculated values
For the raw formation energy, the calculation gives 0.2078 eV per atom. As for the spin magnetization: 3.42 Bohr magnetons per cell. As for the crystal system: tetragonal. As for the space group: P4/mmm, No. 123.

a b c (Å): 5.333 5.333 4.935
angles (deg): 90.00 90.00 90.00
Element x y z (fractional)
Na1 0.000 0.500 0.000
Na2 0.500 0.000 0.000
Fe1 0.000 0.000 0.500
Te1 0.500 0.500 0.500
Au1 0.000 0.000 0.000

=====

The following is a DFT calculation (PBE-GGA) of crystalline SnH3Au at its relaxed geometry.

Calculated values
The calculation puts the distance to the lowest polymorph of the same formula at 0.2213 eV per atom. As for the spin magnetization: 0.00 Bohr magnetons per cell. As for the crystal system: cubic. As for the space group: Pm-3m, No. 221.

a b c (Å): 3.973 3.973 3.973
angles (deg): 90.00 90.00 90.00
Element x y z (fractional)
Sn1 0.000 0.000 0.000
H1 0.000 0.000 0.500
H2 0.000 0.500 0.000
H3 0.500 0.000 0.000
Au1 0.500 0.500 0.500

=====

The following is a DFT calculation (PBE-GGA) of crystalline Ho5ThCu4 at its relaxed geometry.

Calculated values
As for the spin magnetization: 0.00 Bohr magnetons per cell. As for the crystal system: tetragonal. As for the space group: P4/mmm, No. 123. As for the calculated formation energy: -0.21 eV/atom.

a b c (Å): 3.449 3.449 19.063
angles (deg): 90.00 90.00 90.00
Element x y z (fractional)
Ho1 0.000 0.000 0.000
Ho2 0.000 0.000 0.183
Ho3 0.000 0.000 0.364
Ho4 0.000 0.000 0.636
Ho5 0.000 0.000 0.817
Th1 0.500 0.500 0.500
Cu1 0.500 0.500 0.091
Cu2 0.500 0.500 0.273
Cu3 0.500 0.500 0.727
Cu4 0.500 0.500 0.909

=====

The following is a DFT calculation (PBE-GGA) of crystalline SiBC3 at its relaxed geometry.

Calculated values
For the raw formation energy, the calculation gives 2.4087 eV per atom. The calculation puts the distance to the lowest polymorph of the same formula at 0.0000 eV per atom. As for the spin magnetization: 0.00 Bohr magnetons per cell. As for the crystal system: cubic. As for the space group: Pm-3m, No. 221.

a b c (Å): 3.472 3.472 3.472
angles (deg): 90.00 90.00 90.00
Element x y z (fractional)
Si1 0.000 0.000 0.000
B1 0.500 0.500 0.500
C1 0.000 0.500 0.500
C2 0.500 0.000 0.500
C3 0.500 0.500 0.000

=====

The following is a DFT calculation (PBE-GGA) of crystalline La4OsSI2 at its relaxed geometry.

Calculated values
For the raw formation energy, the calculation gives -1.1558 eV per atom. As for the spin magnetization: 0.00 Bohr magnetons per cell. As for the crystal system: monoclinic. As for the space group: P2/m, No. 10.

a b c (Å): 7.569 4.213 8.344
angles (deg): 90.00 106.41 90.00
Element x y z (fractional)
La1 0.215 0.000 0.190
La2 0.260 0.500 0.810
La3 0.740 0.500 0.190
La4 0.785 0.000 0.810
Os1 0.000 0.500 0.000
S1 0.500 0.000 0.000
I1 0.000 0.000 0.500
I2 0.500 0.500 0.500

=====

The following is a DFT calculation (PBE-GGA) of crystalline Ba2ZnBO4 at its relaxed geometry.

Calculated values
For the raw formation energy, the calculation gives -1.8712 eV per atom. As for the spin magnetization: 1.72 Bohr magnetons per cell. As for the crystal system: orthorhombic. As for the space group: Fddd, No. 70.

a b c (Å): 11.501 10.435 5.928
angles (deg): 84.55 64.58 30.87
Element x y z (fractional)
Ba1 0.051 0.051 0.699
Ba2 0.301 0.301 0.949
Ba3 0.699 0.699 0.051
Ba4 0.949 0.949 0.301
Zn1 0.125 0.125 0.125
Zn2 0.875 0.875 0.875
B1 0.375 0.375 0.375
B2 0.625 0.625 0.625
O1 0.068 0.598 0.513
O2 0.321 0.513 0.598
O3 0.402 0.932 0.679
O4 0.487 0.679 0.932
O5 0.513 0.321 0.068
O6 0.598 0.068 0.321
O7 0.679 0.487 0.402
O8 0.932 0.402 0.487

=====

The following is a DFT calculation (PBE-GGA) of crystalline La12Tl3Hg at its relaxed geometry.

Calculated values
As for the spin magnetization: 0.00 Bohr magnetons per cell. As for the crystal system: tetragonal. As for the space group: P4/mmm, No. 123. As for the calculated formation energy: -0.24 eV/atom.

a b c (Å): 5.071 5.071 20.137
angles (deg): 90.00 90.00 90.00
Element x y z (fractional)
La1 0.000 0.000 0.000
La2 0.000 0.000 0.248
La3 0.000 0.000 0.500
La4 0.000 0.000 0.752
La5 0.000 0.500 0.123
La6 0.000 0.500 0.374
La7 0.000 0.500 0.626
La8 0.000 0.500 0.877
La9 0.500 0.000 0.123
La10 0.500 0.000 0.374
La11 0.500 0.000 0.626
La12 0.500 0.000 0.877
Tl1 0.500 0.500 0.248
Tl2 0.500 0.500 0.500
Tl3 0.500 0.500 0.752
Hg1 0.500 0.500 0.000

=====

The following is a DFT calculation (PBE-GGA) of crystalline RbSrSb2 at its relaxed geometry.

Calculated values
For the raw formation energy, the calculation gives -0.3772 eV per atom. The calculation puts the distance to the lowest polymorph of the same formula at 0.2796 eV per atom. As for the spin magnetization: 0.00 Bohr magnetons per cell. As for the crystal system: cubic. As for the space group: Fm-3m, No. 225.

a b c (Å): 5.872 5.872 5.872
angles (deg): 60.00 60.00 60.00
Element x y z (fractional)
Rb1 0.000 0.000 0.000
Sr1 0.500 0.500 0.500
Sb1 0.250 0.250 0.250
Sb2 0.750 0.750 0.750

=====

The following is a DFT calculation (PBE-GGA) of crystalline AcBiAuO at its relaxed geometry.

Calculated values
For the raw formation energy, the calculation gives -1.5576 eV per atom. As for the spin magnetization: 0.00 Bohr magnetons per cell. As for the crystal system: tetragonal. As for the space group: P4/nmm, No. 129.

a b c (Å): 4.517 4.517 9.839
angles (deg): 90.00 90.00 90.00
Element x y z (fractional)
Ac1 0.250 0.250 0.115
Ac2 0.750 0.750 0.885
Bi1 0.250 0.750 0.500
Bi2 0.750 0.250 0.500
Au1 0.250 0.250 0.714
Au2 0.750 0.750 0.286
O1 0.250 0.750 0.000
O2 0.750 0.250 0.000

=====

The following is a DFT calculation (PBE-GGA) of crystalline Mn2NbRePd at its relaxed geometry.

Calculated values
As for the spin magnetization: 5.95 Bohr magnetons per cell. As for the crystal system: tetragonal. As for the space group: P4/mmm, No. 123. As for the calculated formation energy: 1.65 eV/atom.

a b c (Å): 4.641 4.641 4.688
angles (deg): 90.00 90.00 90.00
Element x y z (fractional)
Mn1 0.000 0.500 0.000
Mn2 0.500 0.000 0.000
Nb1 0.000 0.000 0.000
Re1 0.000 0.000 0.500
Pd1 0.500 0.500 0.500

=====

The following is a DFT calculation (PBE-GGA) of crystalline Pr3GeSCl at its relaxed geometry.

Calculated values
For the raw formation energy, the calculation gives -1.4126 eV per atom. As for the spin magnetization: 0.00 Bohr magnetons per cell. As for the crystal system: monoclinic. As for the space group: P2_1/m, No. 11.

a b c (Å): 7.720 4.104 11.013
angles (deg): 90.00 107.83 90.00
Element x y z (fractional)
Pr1 0.173 0.250 0.149
Pr2 0.205 0.250 0.491
Pr3 0.310 0.750 0.838
Pr4 0.690 0.250 0.162
Pr5 0.795 0.750 0.509
Pr6 0.827 0.750 0.851
Ge1 0.009 0.250 0.699
Ge2 0.991 0.750 0.301
S1 0.407 0.750 0.108
S2 0.593 0.250 0.892
Cl1 0.475 0.750 0.624
Cl2 0.525 0.250 0.376

=====

The following is a DFT calculation (PBE-GGA) of crystalline NdErGaN3 at its relaxed geometry.

Calculated values
For the raw formation energy, the calculation gives -0.9849 eV per atom. As for the spin magnetization: 0.00 Bohr magnetons per cell. As for the crystal system: monoclinic. As for the space group: P2_1/m, No. 11.

a b c (Å): 7.260 3.436 7.627
angles (deg): 90.00 97.66 90.00
Element x y z (fractional)
Nd1 0.176 0.250 0.187
Nd2 0.824 0.750 0.813
Er1 0.361 0.750 0.848
Er2 0.639 0.250 0.152
Ga1 0.108 0.250 0.603
Ga2 0.892 0.750 0.397
N1 0.130 0.250 0.858
N2 0.170 0.750 0.493
N3 0.405 0.750 0.142
N4 0.595 0.250 0.858
N5 0.830 0.250 0.507
N6 0.870 0.750 0.142

=====

The following is a DFT calculation (PBE-GGA) of crystalline ZnGa3P at its relaxed geometry.

Calculated values
The calculation puts the distance to the lowest polymorph of the same formula at 0.0000 eV per atom. As for the spin magnetization: 0.00 Bohr magnetons per cell. As for the crystal system: cubic. As for the space group: Pm-3m, No. 221. As for the calculated formation energy: 0.38 eV/atom.

a b c (Å): 4.836 4.836 4.836
angles (deg): 90.00 90.00 90.00
Element x y z (fractional)
Zn1 0.000 0.000 0.000
Ga1 0.000 0.500 0.500
Ga2 0.500 0.000 0.500
Ga3 0.500 0.500 0.000
P1 0.500 0.500 0.500

=====

The following is a DFT calculation (PBE-GGA) of crystalline Mo2AsOs at its relaxed geometry.

Calculated values
As for the spin magnetization: 0.00 Bohr magnetons per cell. As for the crystal system: orthorhombic. As for the space group: Pmmm, No. 47. As for the calculated formation energy: 0.13 eV/atom.

a b c (Å): 2.873 4.121 5.140
angles (deg): 90.00 90.00 90.00
Element x y z (fractional)
Mo1 0.000 0.000 0.249
Mo2 0.000 0.000 0.751
As1 0.500 0.500 0.000
Os1 0.500 0.500 0.500

=====

Computed calculated total energy, in the same sequence as the records: -3.296, -2.811, -4.875, -5.546, -5.927, -5.825, -4.394, -3.101, -5.614, -7.560, -5.568, -7.207, -2.768, -9.260 eV per atom.
Computed density, in the same sequence as the records: 5.044, 8.439, 9.599, 2.972, 6.712, 5.177, 7.956, 4.831, 10.736, 8.146, 5.628, 7.455, 4.486, 12.470 g/cm3.